1.
Pm4CuS2Cl | Alexandria | PBE | optimized geometry; total magnetic moment = 0.000 μB/f.u.; ΔE_f (raw) = -1414 meV/atom; final energy = -5.564 eV per atom
1.0
3.987 0.000 0.000
0.000 7.111 -0.200
0.000 2.450 6.670
Pm Cl Cu S
4 1 1 2
Direct
0.500 0.246 0.746 Pm
0.000 0.767 0.735 Pm
0.000 0.233 0.265 Pm
0.500 0.754 0.254 Pm
0.500 0.500 0.000 Cl
0.000 0.500 0.500 Cu
0.500 0.000 0.500 S
0.000 0.000 0.000 S



2.
LiRhAu | Alexandria | PBE | optimized geometry; total magnetic moment = 0.213 μB/f.u.; final energy = -4.262 eV per atom; E above lowest polymorph = 15 meV/atom; E_form = -0.081 eV/atom
1.0
-4.490 4.386 -0.327
-5.706 1.609 2.087
5.908 -2.058 0.609
Au Rh Li
1 1 1
Direct
0.995 0.995 0.000 Au
0.674 0.674 0.000 Rh
0.331 0.331 0.000 Li



3.
Cs2BI6Cl | Alexandria | PBE | optimized geometry; total magnetic moment = 0.000 μB/f.u.; ΔE_f (raw) = -386 meV/atom; final energy = -2.340 eV per atom
1.0
-4.854 2.303 -6.587
3.303 -6.310 -4.640
-5.167 -5.725 -3.678
Cs I Cl B
2 6 1 1
Direct
0.250 0.750 0.500 Cs
0.750 0.250 0.500 Cs
0.297 0.703 0.000 I
0.219 0.219 0.563 I
0.781 0.781 0.437 I
0.297 0.297 0.000 I
0.703 0.703 0.000 I
0.703 0.297 0.000 I
0.000 0.000 0.000 Cl
0.500 0.500 0.000 B



4.
ReSb2Te | Alexandria | PBE | optimized geometry; total magnetic moment = 0.000 μB/f.u.; ΔE_f (raw) = 356 meV/atom; final energy = -5.602 eV per atom
1.0
9.591 -0.013 -0.007
8.980 3.367 -0.007
8.980 1.622 2.951
Sb Te Re
2 1 1
Direct
0.744 0.744 0.744 Sb
0.986 0.986 0.986 Sb
0.519 0.519 0.519 Te
0.251 0.251 0.251 Re



5.
InSiHg2 | Alexandria | PBE | optimized geometry; total magnetic moment = 0.000 μB/f.u.; ΔE_f (raw) = 340 meV/atom; final energy = -1.851 eV per atom
1.0
-0.926 -1.063 -4.839
4.096 -2.934 -0.140
-3.035 -8.557 -0.164
Si Hg In
2 4 2
Direct
0.250 0.750 0.500 Si
0.500 0.500 0.000 Si
0.563 0.125 0.250 Hg
0.187 0.625 0.250 Hg
0.875 0.813 0.750 Hg
0.375 0.437 0.750 Hg
0.750 0.250 0.500 In
0.000 0.000 0.000 In



6.
La2CuSi3Ir4 | Alexandria | PBE | optimized geometry; total magnetic moment = 0.000 μB/f.u.; ΔE_f (raw) = -887 meV/atom; final energy = -7.453 eV per atom
1.0
4.187 0.000 0.000
0.000 4.187 0.000
0.000 0.000 10.181
La Ir Si Cu
2 4 3 1
Direct
0.000 0.500 0.743 La
0.500 0.000 0.257 La
0.000 0.500 0.365 Ir
0.500 0.000 0.635 Ir
0.500 0.500 0.000 Ir
0.000 0.000 0.000 Ir
0.000 0.000 0.500 Si
0.500 0.000 0.875 Si
0.000 0.500 0.125 Si
0.500 0.500 0.500 Cu



7.
NaTlCd2Br | Alexandria | PBE | optimized geometry; total magnetic moment = 0.367 μB/f.u.; ΔE_f (raw) = -36 meV/atom; final energy = -1.474 eV per atom
1.0
5.496 0.000 0.000
0.000 6.125 0.000
0.000 0.000 5.496
Br Cd Tl Na
1 2 1 1
Direct
0.500 0.500 0.500 Br
0.500 0.000 0.000 Cd
0.000 0.000 0.500 Cd
0.000 0.000 0.000 Tl
0.000 0.500 0.000 Na



8.
Nb2SbBr | Alexandria | PBE | optimized geometry; total magnetic moment = 0.000 μB/f.u.; ΔE_f (raw) = 553 meV/atom; final energy = -5.930 eV per atom; E above lowest polymorph = 328 meV/atom
1.0
4.680 0.000 0.000
0.000 4.680 0.000
2.340 2.340 8.619
Br Nb Sb
2 4 2
Direct
0.250 0.750 0.500 Br
0.500 0.500 0.000 Br
0.178 0.625 0.250 Nb
0.375 0.428 0.750 Nb
0.572 0.125 0.250 Nb
0.875 0.822 0.750 Nb
0.000 0.000 0.000 Sb
0.750 0.250 0.500 Sb



9.
Ba2SbP3Pd12 | Alexandria | PBE | optimized geometry; total magnetic moment = 0.000 μB/f.u.; ΔE_f (raw) = -351 meV/atom; final energy = -5.157 eV per atom
1.0
-3.949 -1.109 -6.975
-6.780 -4.411 0.234
-7.014 3.920 -0.959
P Pd Sb Ba
3 12 1 2
Direct
0.500 0.000 0.000 P
0.000 0.500 0.000 P
0.000 0.000 0.500 P
0.112 0.112 0.625 Pd
0.322 0.322 0.908 Pd
0.888 0.375 0.888 Pd
0.092 0.678 0.678 Pd
0.322 0.908 0.322 Pd
0.908 0.322 0.322 Pd
0.678 0.092 0.678 Pd
0.625 0.112 0.112 Pd
0.112 0.625 0.112 Pd
0.678 0.678 0.092 Pd
0.375 0.888 0.888 Pd
0.888 0.888 0.375 Pd
0.000 0.000 0.000 Sb
0.608 0.608 0.608 Ba
0.392 0.392 0.392 Ba



10.
Rb2GeBiTe4 | Alexandria | PBE | optimized geometry; total magnetic moment = 0.000 μB/f.u.; ΔE_f (raw) = -453 meV/atom; final energy = -3.328 eV per atom
1.0
7.015 0.000 0.000
3.507 7.828 0.000
3.507 0.000 12.950
Ge Te Rb Bi
2 8 4 2
Direct
0.250 0.500 0.500 Ge
0.500 0.000 0.000 Ge
0.190 0.291 0.373 Te
0.854 0.709 0.627 Te
0.437 0.709 0.373 Te
0.896 0.791 0.873 Te
0.313 0.791 0.127 Te
0.519 0.291 0.627 Te
0.560 0.209 0.127 Te
0.231 0.209 0.873 Te
0.815 0.000 0.369 Rb
0.185 0.000 0.631 Rb
0.565 0.500 0.869 Rb
0.935 0.500 0.131 Rb
0.750 0.500 0.500 Bi
0.000 0.000 0.000 Bi



11.
Ce2Sm3DyTm6 | Alexandria | PBE | optimized geometry; total magnetic moment = 1.806 μB/f.u.; final energy = -4.744 eV per atom; E_form = 0.044 eV/atom
1.0
-4.881 2.287 -2.899
-0.513 -1.956 5.777
4.455 10.363 2.825
Dy Tm Sm Ce
1 6 3 2
Direct
0.000 0.000 0.000 Dy
0.917 0.582 0.753 Tm
0.582 0.917 0.753 Tm
0.418 0.083 0.247 Tm
0.747 0.747 0.247 Tm
0.253 0.253 0.753 Tm
0.083 0.418 0.247 Tm
0.166 0.834 0.500 Sm
0.500 0.500 0.500 Sm
0.834 0.166 0.500 Sm
0.334 0.666 0.000 Ce
0.666 0.334 0.000 Ce



12.
MoPd6Au | Alexandria | PBE | optimized geometry; total magnetic moment = 0.000 μB/f.u.; final energy = -5.760 eV per atom; E_form = -0.101 eV/atom
1.0
3.968 0.000 0.000
0.000 3.968 0.000
0.000 0.000 7.938
Pd Au Mo
6 1 1
Direct
0.500 0.000 0.263 Pd
0.500 0.000 0.737 Pd
0.000 0.500 0.263 Pd
0.500 0.500 0.500 Pd
0.000 0.500 0.737 Pd
0.500 0.500 0.000 Pd
0.000 0.000 0.000 Au
0.000 0.000 0.500 Mo



> Which of these has the highest final energy?

NaTlCd2Br